[1]
# Th3Sb (GGA-PBE, optimized geometry)
data_Th3Sb
_chemical_formula_sum 'Th3 Sb1'
_symmetry_space_group_name_H-M 'P 1'
_symmetry_Int_Tables_number 1
_symmetry_space_group_name_Hall 'P 1'
_cell_length_a 4.911
_cell_length_b 4.911
_cell_length_c 4.919
_cell_angle_alpha 90.00
_cell_angle_beta 90.00
_cell_angle_gamma 90.00
loop_
_atom_site_label
_atom_site_type_symbol
_atom_site_fract_x
_atom_site_fract_y
_atom_site_fract_z
Sb1 Sb 0.000 0.500 0.417
Th1 Th 0.000 0.000 0.917
Th2 Th 0.500 0.000 0.417
Th3 Th 0.500 0.500 0.917
# E_form (uncorrected)	-0.387	eV per atom
# energy above the lowest structure with this stoichiometry	0	meV per atom
# magnetic moment	0.00	μB per cell
# N(E_F)	5.834	states/eV/f.u.

***

[2]
# ThSb3 (GGA-PBE, optimized geometry)
data_ThSb3
_chemical_formula_sum 'Th1 Sb3'
_symmetry_space_group_name_H-M 'P 1'
_symmetry_Int_Tables_number 1
_symmetry_space_group_name_Hall 'P 1'
_cell_length_a 4.797
_cell_length_b 4.757
_cell_length_c 4.810
_cell_angle_alpha 90.00
_cell_angle_beta 90.00
_cell_angle_gamma 90.00
loop_
_atom_site_label
_atom_site_type_symbol
_atom_site_fract_x
_atom_site_fract_y
_atom_site_fract_z
Sb1 Sb 0.000 0.000 0.083
Sb2 Sb 0.000 0.500 0.583
Sb3 Sb 0.500 0.500 0.083
Th1 Th 0.500 0.000 0.583
# E_form (uncorrected)	-0.477	eV per atom
# energy above the lowest structure with this stoichiometry	21	meV per atom
# magnetic moment	0.00	μB per cell
# N(E_F)	2.561	states/eV/f.u.

***

[3]
# Th5Sb2 (GGA-PBE, optimized geometry)
data_Th5Sb2
_chemical_formula_sum 'Th10 Sb4'
_symmetry_space_group_name_H-M 'P 1'
_symmetry_Int_Tables_number 1
_symmetry_space_group_name_Hall 'P 1'
_cell_length_a 6.275
_cell_length_b 8.685
_cell_length_c 8.769
_cell_angle_alpha 94.27
_cell_angle_beta 110.96
_cell_angle_gamma 90.00
loop_
_atom_site_label
_atom_site_type_symbol
_atom_site_fract_x
_atom_site_fract_y
_atom_site_fract_z
Th1 Th 0.254 0.439 0.198
Th2 Th 0.057 0.061 0.802
Th3 Th 0.173 0.692 0.546
Th4 Th 0.626 0.808 0.454
Th5 Th 0.827 0.308 0.454
Th6 Th 0.374 0.192 0.546
Th7 Th 0.943 0.939 0.198
Th8 Th 0.746 0.561 0.802
Th9 Th 0.678 0.250 0.000
Th10 Th 0.322 0.750 0.000
Sb1 Sb 0.226 0.421 0.800
Sb2 Sb 0.426 0.079 0.200
Sb3 Sb 0.774 0.579 0.200
Sb4 Sb 0.574 0.921 0.800
# E_form (uncorrected)	-0.407	eV per atom
# magnetic moment	0.00	μB per cell
# N(E_F)	8.108	states/eV/f.u.

***

[4]
# ThSb3 (GGA-PBE, optimized geometry)
data_ThSb3
_chemical_formula_sum 'Th1 Sb3'
_symmetry_space_group_name_H-M 'P 1'
_symmetry_Int_Tables_number 1
_symmetry_space_group_name_Hall 'P 1'
_cell_length_a 4.533
_cell_length_b 4.533
_cell_length_c 6.286
_cell_angle_alpha 111.14
_cell_angle_beta 111.14
_cell_angle_gamma 90.00
loop_
_atom_site_label
_atom_site_type_symbol
_atom_site_fract_x
_atom_site_fract_y
_atom_site_fract_z
Sb1 Sb 0.750 0.250 0.500
Sb2 Sb 0.250 0.750 0.500
Sb3 Sb 0.500 0.500 0.000
Th1 Th 0.000 0.000 0.000
# E_form (uncorrected)	-0.498	eV per atom
# energy above the lowest structure with this stoichiometry	0	meV per atom
# magnetic moment	0.00	μB per cell
# N(E_F)	3.019	states/eV/f.u.

***

Among the records above, which one has the highest E_form (uncorrected)?
Th3Sb

***

Look up the magnetic moment of the first one.
0.00 μB per cell

***

Which formula does entry 3 have?
Th5Sb2

***

What did the fourth record say?
# ThSb3 (GGA-PBE, optimized geometry)
data_ThSb3
_chemical_formula_sum 'Th1 Sb3'
_symmetry_space_group_name_H-M 'P 1'
_symmetry_Int_Tables_number 1
_symmetry_space_group_name_Hall 'P 1'
_cell_length_a 4.533
_cell_length_b 4.533
_cell_length_c 6.286
_cell_angle_alpha 111.14
_cell_angle_beta 111.14
_cell_angle_gamma 90.00
loop_
_atom_site_label
_atom_site_type_symbol
_atom_site_fract_x
_atom_site_fract_y
_atom_site_fract_z
Sb1 Sb 0.750 0.250 0.500
Sb2 Sb 0.250 0.750 0.500
Sb3 Sb 0.500 0.500 0.000
Th1 Th 0.000 0.000 0.000
# E_form (uncorrected)	-0.498	eV per atom
# energy above the lowest structure with this stoichiometry	0	meV per atom
# magnetic moment	0.00	μB per cell
# N(E_F)	3.019	states/eV/f.u.